No. 1
Crystalline YTlO3 at its relaxed geometry, computed with PBE.

Results
- Crystal system: orthorhombic
- E_form (uncorrected): -2059 meV/atom
- V: 15.04 A^3/atom

a = 7.3156 Å, b = 7.3156 Å, c = 5.9080 Å
α = 90.00°, β = 90.00°, γ = 151.60°
Last column: nearest neighbours and their distance in Å.
Atoms (fractional coordinates):
Y 0.1933 0.8067 0.7500  7 O 2.34-2.39
Y 0.8067 0.1933 0.2500  7 O 2.34-2.39
Tl 0.4411 0.5589 0.7500  4 O 2.18-2.20
Tl 0.5589 0.4411 0.2500  4 O 2.18-2.20
O 0.0278 0.9722 0.7500  2 Tl 2.18, 1 Y 2.35
O 0.3260 0.6740 0.5006  1 Tl 2.20, 3 Y 2.34-2.39
O 0.3260 0.6740 0.9994  1 Tl 2.20, 3 Y 2.34-2.39
O 0.6740 0.3260 0.0006  1 Tl 2.20, 3 Y 2.34-2.39
O 0.6740 0.3260 0.4994  1 Tl 2.20, 3 Y 2.34-2.39
O 0.9722 0.0278 0.2500  2 Tl 2.18, 1 Y 2.35

---

No. 2
Crystalline Y2TlO at its relaxed geometry, computed with PBE.

Results
- ΔE to the lowest computed polymorph: 0.0562 eV per atom
- DOS(E_F): 0.32 states/eV per atom
- Crystal system: trigonal
- E_form (uncorrected): -1564 meV/atom
- V: 21.21 A^3/atom

a = 3.5689 Å, b = 3.5689 Å, c = 23.0765 Å
α = 90.00°, β = 90.00°, γ = 120.00°
Last column: nearest neighbours and their distance in Å.
Atoms (fractional coordinates):
Y 0.0000 0.0000 0.2235  3 O 2.44
Y 0.0000 0.0000 0.7765  3 O 2.44
Y 0.3333 0.6667 0.4432  3 O 2.44
Y 0.3333 0.6667 0.8901  3 O 2.44
Y 0.6667 0.3333 0.1099  3 O 2.44
Y 0.6667 0.3333 0.5568  3 O 2.44
Tl 0.0000 0.0000 0.0000  6 Y 3.27, 6 Tl 3.57
Tl 0.3333 0.6667 0.6667  6 Y 3.27, 6 Tl 3.57
Tl 0.6667 0.3333 0.3333  6 Y 3.27, 6 Tl 3.57
O 0.0000 0.0000 0.5000  6 Y 2.44
O 0.3333 0.6667 0.1667  6 Y 2.44
O 0.6667 0.3333 0.8333  6 Y 2.44

---

No. 3
Crystalline YTlO2 at its relaxed geometry, computed with PBE.

Results
- ΔE to the lowest computed polymorph: 0.0000 eV per atom
- DOS(E_F): 0.00 states/eV per atom
- Crystal system: trigonal
- E_form (uncorrected): -2343 meV/atom
- V: 17.36 A^3/atom

a = 3.5125 Å, b = 3.5125 Å, c = 19.5017 Å
α = 90.00°, β = 90.00°, γ = 120.00°
Last column: nearest neighbours and their distance in Å.
Atoms (fractional coordinates):
Y 0.0000 0.0000 0.0000  6 O 2.32
Y 0.3333 0.6667 0.6667  6 O 2.32
Y 0.6667 0.3333 0.3333  6 O 2.32
Tl 0.0000 0.0000 0.5000  6 O 2.94
Tl 0.3333 0.6667 0.1667  6 O 2.94
Tl 0.6667 0.3333 0.8333  6 O 2.94
O 0.0000 0.0000 0.2757  3 Y 2.32
O 0.0000 0.0000 0.7243  3 Y 2.32
O 0.3333 0.6667 0.3910  3 Y 2.32
O 0.3333 0.6667 0.9424  3 Y 2.32
O 0.6667 0.3333 0.0576  3 Y 2.32
O 0.6667 0.3333 0.6090  3 Y 2.32

---

No. 4
Crystalline Y6Tl3O2 at its relaxed geometry, computed with PBE.

Results
- DOS(E_F): 0.49 states/eV per atom
- Crystal system: tetragonal
- E_form (uncorrected): -1268 meV/atom
- V: 24.93 A^3/atom

a = 12.8341 Å, b = 12.8341 Å, c = 12.8341 Å
α = 158.88°, β = 158.88°, γ = 30.04°
Last column: nearest neighbours and their distance in Å.
Atoms (fractional coordinates):
Y 0.0851 0.5851 0.5000  2 O 2.38
Y 0.1965 0.1965 0.0000  1 O 2.37
Y 0.4149 0.9149 0.5000  2 O 2.38
Y 0.5851 0.0851 0.5000  2 O 2.38
Y 0.8035 0.8035 0.0000  1 O 2.37
Y 0.9149 0.4149 0.5000  2 O 2.38
Tl 0.3235 0.3235 0.0000  9 Y 3.15-3.36
Tl 0.5000 0.5000 0.0000  8 Y 3.16
Tl 0.6765 0.6765 0.0000  9 Y 3.15-3.36
O 0.1010 0.1010 0.0000  5 Y 2.37-2.38
O 0.8990 0.8990 0.0000  5 Y 2.37-2.38

---

No. 5
Crystalline YTl2O at its relaxed geometry, computed with PBE.

Results
- ΔE to the lowest computed polymorph: 0.0000 eV per atom
- DOS(E_F): 0.51 states/eV per atom
- Crystal system: tetragonal
- E_form (uncorrected): -922 meV/atom
- V: 28.52 A^3/atom

a = 10.3449 Å, b = 10.3449 Å, c = 4.2643 Å
α = 90.00°, β = 90.00°, γ = 90.00°
Last column: nearest neighbours and their distance in Å.
Atoms (fractional coordinates):
Y 0.0000 0.0000 0.0000  2 O 2.13
Y 0.0000 0.5000 0.2500  2 O 2.13
Y 0.5000 0.0000 0.7500  2 O 2.13
Y 0.5000 0.5000 0.5000  2 O 2.13
Tl 0.1311 0.2500 0.6250  2 O 2.97, 2 Tl 3.25
Tl 0.2500 0.6311 0.8750  2 O 2.97, 2 Tl 3.25
Tl 0.2500 0.8689 0.3750  2 O 2.97, 2 Tl 3.25
Tl 0.3689 0.2500 0.1250  2 O 2.97, 2 Tl 3.25
Tl 0.6311 0.7500 0.1250  2 O 2.97, 2 Tl 3.25
Tl 0.7500 0.1311 0.3750  2 O 2.97, 2 Tl 3.25
Tl 0.7500 0.3689 0.8750  2 O 2.97, 2 Tl 3.25
Tl 0.8689 0.7500 0.6250  2 O 2.97, 2 Tl 3.25
O 0.0000 0.0000 0.5000  2 Y 2.13
O 0.0000 0.5000 0.7500  2 Y 2.13
O 0.5000 0.0000 0.2500  2 Y 2.13
O 0.5000 0.5000 0.0000  2 Y 2.13

---

No. 6
Crystalline Y4Tl2O at its relaxed geometry, computed with PBE.

Results
- ΔE to the lowest computed polymorph: 0.0000 eV per atom
- DOS(E_F): 0.46 states/eV per atom
- Crystal system: monoclinic
- E_form (uncorrected): -1091 meV/atom
- V: 26.84 A^3/atom

a = 6.4444 Å, b = 6.8904 Å, c = 9.0193 Å
α = 90.00°, β = 110.26°, γ = 90.00°
Last column: nearest neighbours and their distance in Å.
Atoms (fractional coordinates):
Y 0.0325 0.0022 0.2761  1 O 2.23
Y 0.0325 0.4978 0.2761  1 O 2.23
Y 0.3709 0.7500 0.0539  1 O 2.22
Y 0.4227 0.7500 0.6478  1 O 2.23
Y 0.5773 0.2500 0.3522  1 O 2.23
Y 0.6291 0.2500 0.9461  1 O 2.22
Y 0.9675 0.5022 0.7239  1 O 2.23
Y 0.9675 0.9978 0.7239  1 O 2.23
Tl 0.1951 0.2500 0.0273  7 Y 3.11-3.46
Tl 0.3072 0.2500 0.5861  8 Y 3.17-3.53
Tl 0.6928 0.7500 0.4139  8 Y 3.17-3.53
Tl 0.8049 0.7500 0.9727  7 Y 3.11-3.46
O 0.2047 0.7500 0.7934  4 Y 2.22-2.23
O 0.7953 0.2500 0.2066  4 Y 2.22-2.23

---

No. 7
Crystalline Y3TlO6 at its relaxed geometry, computed with PBE.

Results
- ΔE to the lowest computed polymorph: 0.0122 eV per atom
- DOS(E_F): 0.00 states/eV per atom
- Crystal system: orthorhombic
- E_form (uncorrected): -2792 meV/atom
- V: 14.42 A^3/atom

a = 7.2240 Å, b = 7.2240 Å, c = 5.6735 Å
α = 90.00°, β = 90.00°, γ = 103.05°
Last column: nearest neighbours and their distance in Å.
Atoms (fractional coordinates):
Y 0.0992 0.9008 0.5000  7 O 2.31-2.44
Y 0.1968 0.4086 0.4446  6 O 2.26-2.49
Y 0.4086 0.1968 0.9446  6 O 2.26-2.49
Y 0.5914 0.8032 0.4446  6 O 2.26-2.49
Y 0.8032 0.5914 0.9446  6 O 2.26-2.49
Y 0.9008 0.0992 0.0000  7 O 2.31-2.44
Tl 0.3185 0.6815 0.9354  4 O 2.11-2.22
Tl 0.6815 0.3185 0.4354  4 O 2.11-2.22
O 0.0624 0.6003 0.7112  1 Tl 2.21, 3 Y 2.28-2.44
O 0.1407 0.1802 0.7237  4 Y 2.26-2.35
O 0.1802 0.1407 0.2237  4 Y 2.26-2.35
O 0.2808 0.7192 0.2994  1 Tl 2.11, 3 Y 2.34-2.35
O 0.3997 0.9376 0.7112  1 Tl 2.21, 3 Y 2.28-2.44
O 0.4772 0.5228 0.7043  1 Tl 2.22
O 0.5228 0.4772 0.2043  1 Tl 2.22
O 0.6003 0.0624 0.2112  1 Tl 2.21, 3 Y 2.28-2.44
O 0.7192 0.2808 0.7994  1 Tl 2.11, 3 Y 2.34-2.35
O 0.8198 0.8593 0.7237  4 Y 2.26-2.35
O 0.8593 0.8198 0.2237  4 Y 2.26-2.35
O 0.9376 0.3997 0.2112  1 Tl 2.21, 3 Y 2.28-2.44

---

No. 8
Crystalline YTlO3 at its relaxed geometry, computed with PBE.

Results
- Crystal system: monoclinic
- E_form (uncorrected): -2027 meV/atom
- V: 16.82 A^3/atom

a = 5.5989 Å, b = 3.7574 Å, c = 8.0802 Å
α = 90.00°, β = 98.23°, γ = 90.00°
Last column: nearest neighbours and their distance in Å.
Atoms (fractional coordinates):
Y 0.2353 0.2500 0.3984  6 O 2.27-2.44
Y 0.7647 0.7500 0.6016  6 O 2.27-2.44
Tl 0.3626 0.2500 0.8409  5 O 2.18-2.35
Tl 0.6374 0.7500 0.1591  5 O 2.18-2.35
O 0.0433 0.2500 0.6475  1 Tl 2.20, 3 Y 2.41-2.44
O 0.3851 0.2500 0.1127  3 Tl 2.18-2.35
O 0.4591 0.7500 0.3848  1 Tl 2.20, 3 Y 2.27
O 0.5409 0.2500 0.6152  1 Tl 2.20, 3 Y 2.27
O 0.6149 0.7500 0.8873  3 Tl 2.18-2.35
O 0.9567 0.7500 0.3525  1 Tl 2.20, 3 Y 2.41-2.44

---

No. 9
Crystalline YTlO2 at its relaxed geometry, computed with PBE.

Results
- ΔE to the lowest computed polymorph: 0.7950 eV per atom
- DOS(E_F): 0.00 states/eV per atom
- Crystal system: cubic
- E_form (uncorrected): -1548 meV/atom
- V: 14.98 A^3/atom

a = 6.2123 Å, b = 6.2123 Å, c = 6.2123 Å
α = 90.00°, β = 90.00°, γ = 90.00°
Last column: nearest neighbours and their distance in Å.
Atoms (fractional coordinates):
Y 0.0000 0.0000 0.0000  8 O 2.69
Y 0.0000 0.5000 0.5000  8 O 2.69
Y 0.5000 0.0000 0.5000  8 O 2.69
Y 0.5000 0.5000 0.0000  8 O 2.69
Tl 0.0000 0.0000 0.5000  8 O 2.69
Tl 0.0000 0.5000 0.0000  8 O 2.69
Tl 0.5000 0.0000 0.0000  8 O 2.69
Tl 0.5000 0.5000 0.5000  8 O 2.69
O 0.2500 0.2500 0.2500  4 Tl 2.69, 4 Y 2.69
O 0.2500 0.2500 0.7500  4 Tl 2.69, 4 Y 2.69
O 0.2500 0.7500 0.2500  4 Tl 2.69, 4 Y 2.69
O 0.2500 0.7500 0.7500  4 Tl 2.69, 4 Y 2.69
O 0.7500 0.2500 0.2500  4 Tl 2.69, 4 Y 2.69
O 0.7500 0.2500 0.7500  4 Tl 2.69, 4 Y 2.69
O 0.7500 0.7500 0.2500  4 Tl 2.69, 4 Y 2.69
O 0.7500 0.7500 0.7500  4 Y 2.69, 4 Tl 2.69

---

No. 10
Crystalline YTlO4 at its relaxed geometry, computed with PBE.

Results
- DOS(E_F): 0.00 states/eV per atom
- Crystal system: monoclinic
- E_form (uncorrected): -1680 meV/atom
- V: 13.58 A^3/atom

a = 6.9703 Å, b = 3.6559 Å, c = 6.4161 Å
α = 90.00°, β = 94.56°, γ = 90.00°
Last column: nearest neighbours and their distance in Å.
Atoms (fractional coordinates):
Y 0.0000 0.0000 0.0000  7 O 2.27-2.43
Y 0.5000 0.5000 0.0000  7 O 2.27-2.43
Tl 0.1467 0.5000 0.5383  7 O 2.28-2.46
Tl 0.6467 0.0000 0.5383  7 O 2.28-2.46
O 0.1770 0.5000 0.9222  3 Y 2.27-2.28, 1 Tl 2.46
O 0.2252 0.0000 0.3035  1 O 1.47
O 0.4175 0.0000 0.2263  1 O 1.47
O 0.4697 0.5000 0.6308  3 Tl 2.28-2.31, 1 Y 2.36
O 0.6770 0.0000 0.9222  3 Y 2.27-2.28, 1 Tl 2.46
O 0.7252 0.5000 0.3035  1 O 1.47
O 0.9175 0.5000 0.2263  1 O 1.47
O 0.9697 0.0000 0.6308  3 Tl 2.28-2.31, 1 Y 2.36